BeAl3Pt | GGA-PBEsol | optimized geometry

The structure belongs to space group Pm-3m (No. 221); the cell edges are 4.214, 4.214 and 4.214 Å and the angles 90.00°, 90.00° and 90.00°. Symmetry generates all atoms from Be at (0.000, 0.000, 0.000), Al at (0.000, 0.000, 0.500) and Pt at (0.500, 0.500, 0.500).

As for the energy of formation from the pure elements: 0.234 eV/atom. The density of states at the Fermi level comes out at 0.26 states/eV/atom. For the size of the total moment, the calculation gives 0.0 Bohr magnetons per cell.